# BiHAuIN | Alexandria | GGA-PBE | optimized geometry
data_BiHAuIN
_chemical_formula_sum 'Bi1 H1 Au1 I1 N1'
_symmetry_space_group_name_H-M 'P 1'
_symmetry_Int_Tables_number 1
_symmetry_space_group_name_Hall 'P 1'
_cell_length_a 3.815
_cell_length_b 4.996
_cell_length_c 6.386
_cell_angle_alpha 77.77
_cell_angle_beta 89.89
_cell_angle_gamma 89.98
loop_
_atom_site_label
_atom_site_type_symbol
_atom_site_fract_x
_atom_site_fract_y
_atom_site_fract_z
Bi1 Bi 0.000 0.000 0.000
H1 H 0.499 0.053 0.326
Au1 Au 0.499 0.578 0.204
I1 I 0.999 0.585 0.647
N1 N 0.500 0.160 0.168
# DOS at the Fermi energy = 0.31 states/eV/cell
# ρ = 7.649 g/cm³
# Calculated volume = 23.8 Å³ per atom
# Offset from the most stable computed form = 107 meV per atom
# Energy = -3.863 eV per atom


# CaScSnSe2 | Alexandria | GGA-PBE | optimized geometry
data_CaScSnSe2
_chemical_formula_sum 'Ca1 Sc1 Sn1 Se2'
_symmetry_space_group_name_H-M 'P 4/m m m'
_symmetry_Int_Tables_number 123
_symmetry_space_group_name_Hall '-P 4 2'
_cell_length_a 5.565
_cell_length_b 5.565
_cell_length_c 5.328
_cell_angle_alpha 90.00
_cell_angle_beta 90.00
_cell_angle_gamma 90.00
loop_
_atom_site_label
_atom_site_type_symbol
_atom_site_fract_x
_atom_site_fract_y
_atom_site_fract_z
Ca1 Ca 0.000 0.000 0.000
Sc1 Sc 0.500 0.500 0.000
Sn1 Sn 0.500 0.500 0.500
Se1 Se 0.000 0.500 0.500
# DOS at the Fermi energy = 4.96 states/eV/cell
# ρ = 3.639 g/cm³
# Calculated volume = 33.0 Å³ per atom
# Energy relative to the elements, uncorrected = -39.7 meV per atom
# Energy = -3.901 eV per atom